Below is a geometry-optimized CeHo3H structure, with properties calculated at the PBE level.

a b c (Å): 4.949 4.949 4.949
angles (deg): 90.00 90.00 90.00
Space group Pm-3m (No. 221)
Unique sites:
Ce: 0.000 0.000 0.000
Ho: 0.000 0.500 0.500
H: 0.500 0.500 0.500

Calculated values
Electronic total energy   -23.60 eV per cell
N(E_F)   7.079 states/eV/cell